The following is a PBE calculation of a relaxed structure of SrMnTc2, from the Alexandria database.

The polymorph energy (0 for the lowest one) comes out at 520 meV/atom. The value obtained for the density of states at the Fermi level is 4.8 states/eV per cell. The value obtained for the energy is -6.9511 eV/atom. The energy of formation from the pure elements is 0.94 eV per atom.

Geometry as POSCAR:
```
SrMnTc2
1.0
-2.3895 4.3470 2.2345
-1.5132 -4.9882 2.0881
1.3098 0.1372 2.3846
Mn Tc Sr
1 2 1
Cartesian
-0.1017 -2.4255 2.2363
-0.5398 2.2421 2.3096
0.0000 0.0000 0.0000
-1.9514 -0.3206 2.1613
```